one:
Entry from the Alexandria database: Ni5MoPt2 after structural relaxation (GGA-PBE).

## Properties
Crystal system: orthorhombic

Cell lengths 3.9291, 5.9750, 10.0073 Å; angles 90.00, 90.00, 109.20 degrees
Closest atoms and distances in Å follow each position.
Fractional coordinates of all 16 atoms:
1 Ni 0.8614 0.7228 0.8670  6 Ni 2.34-2.50, 1 Mo 2.38, 2 Pt 2.50-2.54
2 Ni 0.8614 0.7228 0.6330  6 Ni 2.34-2.50, 1 Mo 2.38, 2 Pt 2.50-2.54
3 Ni 0.3134 0.6268 0.5137  5 Ni 2.36-2.46, 2 Pt 2.62, 1 Mo 2.64
4 Ni 0.3134 0.6268 0.9863  5 Ni 2.36-2.46, 2 Pt 2.62, 1 Mo 2.64
5 Ni 0.5481 0.0962 0.2500  4 Ni 2.50, 1 Mo 2.55
6 Ni 0.4519 0.9038 0.7500  4 Ni 2.50, 1 Mo 2.55
7 Ni 0.6866 0.3732 0.4863  5 Ni 2.36-2.46, 2 Pt 2.62, 1 Mo 2.64
8 Ni 0.6866 0.3732 0.0137  5 Ni 2.36-2.46, 2 Pt 2.62, 1 Mo 2.64
9 Ni 0.1386 0.2772 0.1330  6 Ni 2.34-2.50, 1 Mo 2.38, 2 Pt 2.50-2.54
10 Ni 0.1386 0.2772 0.3670  6 Ni 2.34-2.50, 1 Mo 2.38, 2 Pt 2.50-2.54
11 Mo 0.6776 0.3552 0.7500  5 Ni 2.38-2.64, 4 Pt 2.63
12 Mo 0.3224 0.6448 0.2500  5 Ni 2.38-2.64, 4 Pt 2.63
13 Pt 0.9174 0.8349 0.3872  5 Ni 2.50-2.79, 2 Mo 2.63, 1 Pt 2.75
14 Pt 0.9174 0.8349 0.1128  5 Ni 2.50-2.79, 2 Mo 2.63, 1 Pt 2.75
15 Pt 0.0826 0.1651 0.6128  5 Ni 2.50-2.79, 2 Mo 2.63, 1 Pt 2.75
16 Pt 0.0826 0.1651 0.8872  5 Ni 2.50-2.79, 2 Mo 2.63, 1 Pt 2.75



two:
Entry from the Alexandria database: Ni5MoPt2 after structural relaxation (GGA-PBE).

## Properties
Crystal system: orthorhombic

Cell lengths 3.9329, 5.1311, 11.4713 Å; angles 90.00, 90.00, 112.53 degrees
Closest atoms and distances in Å follow each position.
Fractional coordinates of all 16 atoms:
1 Ni 0.9296 0.8593 0.9050  5 Ni 2.42-2.65, 1 Mo 2.50, 3 Pt 2.66-2.69
2 Ni 0.9296 0.8593 0.5950  5 Ni 2.42-2.65, 1 Mo 2.50, 3 Pt 2.66-2.69
3 Ni 0.4222 0.8443 0.4188  4 Ni 2.38-2.42, 1 Mo 2.50, 3 Pt 2.51-2.62
4 Ni 0.4222 0.8443 0.0812  4 Ni 2.38-2.42, 1 Mo 2.50, 3 Pt 2.51-2.62
5 Ni 0.5701 0.1402 0.2500  6 Ni 2.39-2.65, 2 Pt 2.55, 2 Mo 2.64
6 Ni 0.4299 0.8598 0.7500  6 Ni 2.39-2.65, 2 Pt 2.55, 2 Mo 2.64
7 Ni 0.5778 0.1557 0.5812  4 Ni 2.38-2.42, 1 Mo 2.50, 3 Pt 2.51-2.62
8 Ni 0.5778 0.1557 0.9188  4 Ni 2.38-2.42, 1 Mo 2.50, 3 Pt 2.51-2.62
9 Ni 0.0704 0.1407 0.0950  5 Ni 2.42-2.65, 1 Mo 2.50, 3 Pt 2.66-2.69
10 Ni 0.0704 0.1407 0.4050  5 Ni 2.42-2.65, 1 Mo 2.50, 3 Pt 2.66-2.69
11 Mo 0.7439 0.4879 0.7500  6 Ni 2.50-2.64, 4 Pt 2.68
12 Mo 0.2561 0.5121 0.2500  6 Ni 2.50-2.64, 4 Pt 2.68
13 Pt 0.7586 0.5172 0.4083  7 Ni 2.51-2.69, 2 Mo 2.68
14 Pt 0.7586 0.5172 0.0917  7 Ni 2.51-2.69, 2 Mo 2.68
15 Pt 0.2414 0.4828 0.5917  7 Ni 2.51-2.69, 2 Mo 2.68
16 Pt 0.2414 0.4828 0.9083  7 Ni 2.51-2.69, 2 Mo 2.68



If you had to bet on the most stable structure above, which would it be? Bet on two.